Entry 1:
The following is a GGA-PBE calculation of a relaxed HfURu2 crystal, from Alexandria.

Its raw total energy is -10.386 eV per atom.

It has space group P4/mmm (No. 123), with a = 3.205 Å, b = 3.205 Å, c = 7.032 Å, α = 90.00°, β = 90.00° and γ = 90.00°. The distinct sites, in fractional coordinates, are Hf at (0.000, 0.000, 0.000), U at (0.000, 0.000, 0.500) and Ru at (0.500, 0.500, 0.233).

---

Entry 2:
The following is a GGA-PBE calculation of a relaxed La12Pm5Tm crystal, from Alexandria.

Its raw total energy is -4.835 eV per atom.

It has space group C2/m (No. 12), with a = 19.211 Å, b = 11.049 Å, c = 6.411 Å, α = 90.00°, β = 109.23° and γ = 90.00°. The distinct sites, in fractional coordinates, are La at (0.000, 0.167, 0.000), La at (0.000, 0.328, 0.500), La at (0.166, 0.169, 0.833), La at (0.167, 0.330, 0.333), Pm at (0.000, 0.500, 0.000), Pm at (0.166, 0.000, 0.335), Pm at (0.167, 0.500, 0.832) and Tm at (0.000, 0.000, 0.500).

---

Entry 3:
The following is a GGA-PBE calculation of a relaxed Pm6Te3AsRh2 crystal, from Alexandria.

As for the formation energy from raw total energies: -1166 meV per atom. Its raw total energy is -5.939 eV per atom.

It has space group C2/m (No. 12), with a = 7.384 Å, b = 12.792 Å, c = 7.768 Å, α = 90.00°, β = 108.73° and γ = 90.00°. The distinct sites, in fractional coordinates, are Pm at (0.229, 0.000, 0.214), Pm at (0.242, 0.328, 0.215), Te at (0.000, 0.000, 0.500), Te at (0.000, 0.337, 0.500), As at (0.000, 0.500, 0.000) and Rh at (0.000, 0.167, 0.000).

---

Entry 4:
The following is a GGA-PBE calculation of a relaxed SrBiAs crystal, from Alexandria.

Its energy relative to the lowest polymorph listed for this composition is 118.2 meV/atom. Its raw total energy is -3.973 eV per atom.

It has space group Cm (No. 8), with a = 9.731 Å, b = 6.672 Å, c = 7.624 Å, α = 90.00°, β = 124.60° and γ = 90.00°. The distinct sites, in fractional coordinates, are Sr at (0.000, 0.000, 0.000), Sr at (0.220, 0.500, 0.357), Bi at (0.110, 0.241, 0.671) and As at (0.366, 0.188, 0.191).

---

Entry 5:
The following is a GGA-PBE calculation of a relaxed Tb2HoTmS5 crystal, from Alexandria.

As for the formation energy from raw total energies: -1351 meV per atom. Its raw total energy is -5.678 eV per atom.

It has space group P4/mmm (No. 123), with a = 4.840 Å, b = 4.840 Å, c = 10.184 Å, α = 90.00°, β = 90.00° and γ = 90.00°. The distinct sites, in fractional coordinates, are Tb at (0.000, 0.000, 0.171), Ho at (0.500, 0.500, 0.500), Tm at (0.500, 0.500, 0.000), S at (0.000, 0.000, 0.500), S at (0.000, 0.500, 0.000) and S at (0.500, 0.500, 0.253).

---

Q: Which value of raw total energy does entry 2 give?
A: -4.835 eV per atom